The following is a PBE+U calculation of crystalline CoCu2F2 at its relaxed geometry, from the Alexandria database.

Structure (POSCAR):
```
CoCu2F2
1.0
3.460 0.000 0.000
0.000 3.460 0.000
1.730 1.730 4.972
Co Cu F
1 2 2
Direct
0.000 0.000 0.000
0.381 0.381 0.237
0.619 0.619 0.763
0.750 0.250 0.500
0.250 0.750 0.500
```

space-group type: I4/mmm (139)
distance to the lowest polymorph of the same formula: 0 meV/atom
total magnetic moment: 2.84 μB/cell